VASP calculation (GGA-PBE) on a relaxed structure of Ca2Ga2Bi.

Properties
E: -0.241 Ry/atom
DFT formation energy: -0.4900 eV per atom
ΔE to the lowest computed polymorph: 0 meV/atom

CIF file:
```
data_Ca2Ga2Bi
_chemical_formula_sum 'Ca4 Ga4 Bi2'
_cell_length_a 7.6467
_cell_length_b 7.6467
_cell_length_c 4.5667
_cell_angle_alpha 90.00
_cell_angle_beta 90.00
_cell_angle_gamma 90.00
_space_group_name_H-M_alt 'P 4/m b m'
_space_group_IT_number 127
_space_group_name_Hall '-P 4 2ab'
loop_
_atom_site_label
_atom_site_fract_x
_atom_site_fract_y
_atom_site_fract_z
Ca1 0.1746 0.3254 0.0000
Ga1 0.1185 0.6185 0.5000
Bi1 0.0000 0.0000 0.5000
```

***

VASP calculation (GGA-PBE) on a relaxed structure of CaMg2In4Ag.

Properties
E: -0.186 Ry/atom
DFT formation energy: -0.1531 eV per atom

CIF file:
```
data_CaMg2In4Ag
_chemical_formula_sum 'Ca3 Mg6 In12 Ag3'
_cell_length_a 5.0662
_cell_length_b 5.0662
_cell_length_c 26.2912
_cell_angle_alpha 90.00
_cell_angle_beta 90.00
_cell_angle_gamma 120.00
_space_group_name_H-M_alt 'R -3 m'
_space_group_IT_number 166
_space_group_name_Hall '-R 3 2"'
loop_
_atom_site_label
_atom_site_fract_x
_atom_site_fract_y
_atom_site_fract_z
Ca1 0.0000 0.0000 0.0000
Mg1 0.0000 0.0000 0.2530
In1 0.0000 0.0000 0.1292
In2 0.0000 0.0000 0.3856
Ag1 0.0000 0.0000 0.5000
```